VASP calculation (PBE) on an optimized crystal structure of Er5TlSi2.

a b c (Å): 8.744 8.744 8.744
angles (deg): 128.07 128.07 76.52
Fractional positions:
Er  0.000  0.000  0.000
Er  0.024  0.524  0.827
Er  0.197  0.024  0.500
Er  0.303  0.803  0.827
Er  0.476  0.303  0.500
Er  0.500  0.500  0.000
Er  0.524  0.697  0.500
Er  0.697  0.197  0.173
Er  0.803  0.976  0.500
Er  0.976  0.476  0.173
Tl  0.250  0.250  0.000
Tl  0.750  0.750  0.000
Si  0.135  0.365  0.500
Si  0.365  0.865  0.230
Si  0.635  0.135  0.770
Si  0.865  0.635  0.500

Properties
Spin magnetization: 0.0 μB/f.u.
Energy relative to the elements, uncorrected: -578.5 meV/atom

VASP calculation (PBE) on an optimized crystal structure of CePm2Pt.

a b c (Å): 5.173 5.173 5.173
angles (deg): 60.00 60.00 60.00
Fractional positions:
Ce  0.000  0.000  0.000
Pm  0.250  0.250  0.250
Pm  0.750  0.750  0.750
Pt  0.500  0.500  0.500

Properties
Spin magnetization: 0.0 μB/f.u.
Energy relative to the lowest polymorph listed for this composition: 294 meV/atom

VASP calculation (PBE) on an optimized crystal structure of AcThPt2.

a b c (Å): 5.233 5.233 5.233
angles (deg): 60.00 60.00 60.00
Fractional positions:
Ac  0.000  0.000  0.000
Th  0.500  0.500  0.500
Pt  0.250  0.250  0.250
Pt  0.750  0.750  0.750

Properties
Spin magnetization: 0.0 μB/f.u.
Energy relative to the lowest polymorph listed for this composition: 267 meV/atom

VASP calculation (PBE) on an optimized crystal structure of SmTmAg2.

a b c (Å): 3.602 3.602 7.478
angles (deg): 90.00 90.00 90.00
Fractional positions:
Sm  0.000  0.000  0.000
Tm  0.000  0.000  0.500
Ag  0.500  0.500  0.269
Ag  0.500  0.500  0.731

Properties
Spin magnetization: 0.0 μB/f.u.
Energy: -4.0347 eV per atom

VASP calculation (PBE) on an optimized crystal structure of PrHfPt.

a b c (Å): 4.679 4.679 6.913
angles (deg): 90.00 90.00 90.00
Fractional positions:
Pr  0.250  0.250  0.123
Pr  0.750  0.750  0.877
Hf  0.250  0.750  0.500
Hf  0.750  0.250  0.500
Pt  0.250  0.250  0.695
Pt  0.750  0.750  0.305

Properties
Spin magnetization: 0.0 μB/f.u.
Energy relative to the lowest polymorph listed for this composition: 0 meV/atom

VASP calculation (PBE) on an optimized crystal structure of Eu3Al5Te12.

a b c (Å): 15.013 15.013 15.013
angles (deg): 109.47 109.47 109.47
Fractional positions:
Eu  0.125  0.250  0.375
Eu  0.125  0.375  0.750
Eu  0.250  0.375  0.125
Eu  0.250  0.875  0.625
Eu  0.375  0.125  0.250
Eu  0.375  0.750  0.125
Eu  0.625  0.250  0.875
Eu  0.625  0.875  0.750
Eu  0.750  0.125  0.375
Eu  0.750  0.625  0.875
Eu  0.875  0.625  0.250
Eu  0.875  0.750  0.625
Al  0.000  0.000  0.000
Al  0.000  0.000  0.500
Al  0.000  0.500  0.000
Al  0.000  0.500  0.500
Al  0.125  0.750  0.875
Al  0.125  0.875  0.250
Al  0.250  0.125  0.875
Al  0.250  0.625  0.375
Al  0.375  0.250  0.625
Al  0.375  0.625  0.750
Al  0.500  0.000  0.000
Al  0.500  0.000  0.500
Al  0.500  0.500  0.000
Al  0.500  0.500  0.500
Al  0.625  0.375  0.250
Al  0.625  0.750  0.375
Al  0.750  0.375  0.625
Al  0.750  0.875  0.125
Al  0.875  0.125  0.750
Al  0.875  0.250  0.125
Te  0.031  0.207  0.119
Te  0.031  0.323  0.912
Te  0.088  0.619  0.411
Te  0.088  0.969  0.677
Te  0.089  0.707  0.677
Te  0.089  0.881  0.412
Te  0.119  0.031  0.207
Te  0.119  0.588  0.911
Te  0.177  0.207  0.589
Te  0.177  0.469  0.588
Te  0.207  0.119  0.031
Te  0.207  0.589  0.177
Te  0.293  0.323  0.911
Te  0.293  0.469  0.381
Te  0.323  0.911  0.293
Te  0.323  0.912  0.031
Te  0.381  0.293  0.469
Te  0.381  0.589  0.912
Te  0.411  0.088  0.619
Te  0.411  0.823  0.793
Te  0.412  0.089  0.881
Te  0.412  0.823  0.531
Te  0.469  0.381  0.293
Te  0.469  0.588  0.177
Te  0.531  0.412  0.823
Te  0.531  0.619  0.707
Te  0.588  0.177  0.469
Te  0.588  0.911  0.119
Te  0.589  0.177  0.207
Te  0.589  0.912  0.381
Te  0.619  0.411  0.088
Te  0.619  0.707  0.531
Te  0.677  0.088  0.969
Te  0.677  0.089  0.707
Te  0.707  0.531  0.619
Te  0.707  0.677  0.089
Te  0.793  0.411  0.823
Te  0.793  0.881  0.969
Te  0.823  0.531  0.412
Te  0.823  0.793  0.411
Te  0.881  0.412  0.089
Te  0.881  0.969  0.793
Te  0.911  0.119  0.588
Te  0.911  0.293  0.323
Te  0.912  0.031  0.323
Te  0.912  0.381  0.589
Te  0.969  0.677  0.088
Te  0.969  0.793  0.881

Properties
Spin magnetization: 18.8 μB/f.u.
Energy relative to the elements, uncorrected: -690.2 meV/atom

VASP calculation (PBE) on an optimized crystal structure of ErScBeGa.

a b c (Å): 4.761 4.761 4.761
angles (deg): 60.00 60.00 60.00
Fractional positions:
Er  0.000  0.000  0.000
Sc  0.500  0.500  0.500
Be  0.250  0.250  0.250
Ga  0.750  0.750  0.750

Properties
Spin magnetization: 0.0 μB/f.u.
Energy: -4.6933 eV per atom

VASP calculation (PBE) on an optimized crystal structure of Sr3NbIr.

a b c (Å): 5.602 5.602 5.602
angles (deg): 90.00 90.00 90.00
Fractional positions:
Sr  0.000  0.000  0.500
Sr  0.000  0.500  0.000
Sr  0.500  0.000  0.000
Nb  0.000  0.000  0.000
Ir  0.500  0.500  0.500

Properties
Spin magnetization: 1.9 μB/f.u.
Energy relative to the lowest polymorph listed for this composition: 855 meV/atom

VASP calculation (PBE) on an optimized crystal structure of ZrSc3Zn8.

a b c (Å): 5.278 5.278 8.448
angles (deg): 90.00 90.00 120.00
Fractional positions:
Zr  0.000  0.000  0.000
Sc  0.000  0.000  0.370
Sc  0.667  0.333  0.501
Sc  0.667  0.333  0.879
Zn  0.162  0.324  0.688
Zn  0.162  0.838  0.688
Zn  0.333  0.667  0.440
Zn  0.333  0.667  0.939
Zn  0.504  0.008  0.188
Zn  0.504  0.496  0.188
Zn  0.676  0.838  0.688
Zn  0.992  0.496  0.188

Properties
Spin magnetization: 1.6 μB/f.u.
Energy: -3.4573 eV per atom

VASP calculation (PBE) on an optimized crystal structure of NaCeH2.

a b c (Å): 6.695 6.695 6.695
angles (deg): 28.96 28.96 28.96
Fractional positions:
Na  0.000  0.000  0.000
Ce  0.828  0.828  0.828
H  0.238  0.238  0.238
H  0.419  0.419  0.419

Properties
Spin magnetization: 1.0 μB/f.u.
Energy relative to the lowest polymorph listed for this composition: 32 meV/atom

VASP calculation (PBE) on an optimized crystal structure of In2HgI.

a b c (Å): 9.204 9.204 9.204
angles (deg): 26.06 26.06 26.06
Fractional positions:
In  0.000  0.000  0.000
In  0.181  0.181  0.181
Hg  0.591  0.591  0.591
I  0.760  0.760  0.760

Properties
Spin magnetization: 0.0 μB/f.u.
Energy relative to the lowest polymorph listed for this composition: 16 meV/atom
Energy relative to the elements, uncorrected: -120.4 meV/atom

VASP calculation (PBE) on an optimized crystal structure of Tb2CuHgO5.

a b c (Å): 6.643 6.643 5.508
angles (deg): 90.00 90.00 90.00
Fractional positions:
Tb  0.175  0.325  0.000
Tb  0.325  0.825  0.000
Tb  0.675  0.175  0.000
Tb  0.825  0.675  0.000
Cu  0.000  0.500  0.500
Cu  0.500  0.000  0.500
Hg  0.000  0.000  0.500
Hg  0.500  0.500  0.500
O  0.000  0.000  0.000
O  0.132  0.632  0.247
O  0.132  0.632  0.753
O  0.368  0.132  0.247
O  0.368  0.132  0.753
O  0.500  0.500  0.000
O  0.632  0.868  0.247
O  0.632  0.868  0.753
O  0.868  0.368  0.247
O  0.868  0.368  0.753

Properties
Spin magnetization: 0.2 μB/f.u.
Energy relative to the elements, uncorrected: -1992.3 meV/atom

VASP calculation (PBE) on an optimized crystal structure of Rb6S2O.

a b c (Å): 7.344 8.697 12.594
angles (deg): 90.00 123.53 90.00
Fractional positions:
Rb  0.138  0.147  0.444
Rb  0.138  0.353  0.944
Rb  0.299  0.709  0.444
Rb  0.299  0.791  0.944
Rb  0.360  0.036  0.257
Rb  0.360  0.464  0.757
Rb  0.640  0.536  0.243
Rb  0.640  0.964  0.743
Rb  0.701  0.209  0.056
Rb  0.701  0.291  0.556
Rb  0.862  0.647  0.056
Rb  0.862  0.853  0.556
S  0.225  0.103  0.758
S  0.225  0.397  0.258
S  0.775  0.603  0.742
S  0.775  0.897  0.242
O  0.500  0.000  0.500
O  0.500  0.500  0.000

Properties
Spin magnetization: 0.1 μB/f.u.
Energy relative to the lowest polymorph listed for this composition: 0 meV/atom
Energy relative to the elements, uncorrected: -945.2 meV/atom

VASP calculation (PBE) on an optimized crystal structure of Cs2LiFeBr6.

a b c (Å): 7.671 7.671 7.671
angles (deg): 120.07 120.07 89.88
Fractional positions:
Cs  0.250  0.750  0.500
Cs  0.750  0.250  0.500
Li  0.000  0.000  0.000
Fe  0.500  0.500  0.000
Br  0.261  0.261  0.521
Br  0.261  0.739  0.000
Br  0.262  0.262  0.000
Br  0.738  0.738  0.000
Br  0.739  0.261  0.000
Br  0.739  0.739  0.479

Properties
Spin magnetization: 5.0 μB/f.u.
Energy relative to the lowest polymorph listed for this composition: 0 meV/atom
Energy relative to the elements, uncorrected: -1200.2 meV/atom

VASP calculation (PBE) on an optimized crystal structure of TaTc5.

a b c (Å): 4.506 7.406 7.406
angles (deg): 21.68 90.00 90.00
Fractional positions:
Ta  0.000  0.000  0.000
Tc  0.000  0.329  0.329
Tc  0.000  0.672  0.672
Tc  0.500  0.116  0.116
Tc  0.500  0.439  0.439
Tc  0.500  0.778  0.778

Properties
Spin magnetization: 0.0 μB/f.u.
Energy relative to the lowest polymorph listed for this composition: 70 meV/atom

VASP calculation (PBE) on an optimized crystal structure of Th3Si3Tc.

a b c (Å): 5.881 5.881 14.264
angles (deg): 110.22 110.22 43.15
Fractional positions:
Th  0.022  0.022  0.375
Th  0.102  0.102  0.921
Th  0.251  0.251  0.228
Th  0.749  0.749  0.772
Th  0.898  0.898  0.079
Th  0.978  0.978  0.625
Si  0.362  0.362  0.456
Si  0.389  0.389  0.924
Si  0.444  0.444  0.761
Si  0.556  0.556  0.239
Si  0.611  0.611  0.076
Si  0.638  0.638  0.544
Tc  0.258  0.258  0.584
Tc  0.742  0.742  0.416

Properties
Spin magnetization: 0.0 μB/f.u.
Energy relative to the elements, uncorrected: -669.4 meV/atom